1.
SrMg9In3, optimized geometry, DFT PBE; formation energy = -0.11 eV per atom; space group = No. 12
1.0
5.6022 0.0042 2.2740
2.7033 7.3175 1.0973
0.0437 0.0021 7.9301
Mg Sr In
9 1 3
Cartesian
1.0270 2.6226 5.5275 Mg
7.3223 4.7012 5.7740 Mg
1.3517 3.6587 0.5487 Mg
4.9450 5.7351 3.7113 Mg
3.4043 1.5887 7.5902 Mg
3.7165 4.6991 6.6192 Mg
4.6327 2.6247 4.6823 Mg
6.1764 5.7372 8.7154 Mg
2.1729 1.5866 2.5861 Mg
0.0000 0.0000 0.0000 Sr
2.8230 0.0032 5.1021 In
0.0218 0.0011 3.9651 In
4.1528 3.6608 1.6857 In

2.
Zn2PdPb, optimized geometry, DFT PBE; energy above the most stable polymorph in this dataset = 0.160 eV/atom; formation energy = 0.02 eV per atom; space group = No. 225
1.0
0.0000 3.3429 3.3429
3.3429 0.0000 3.3429
3.3429 3.3429 0.0000
Zn Pd Pb
2 1 1
Cartesian
5.0144 5.0144 5.0144 Zn
1.6715 1.6715 1.6715 Zn
0.0000 0.0000 0.0000 Pd
3.3429 3.3429 3.3429 Pb

3.
Ba3Li5, optimized geometry, DFT PBE; formation energy = 0.11 eV per atom; space group = No. 193
1.0
11.4854 0.0000 0.0000
-5.7427 9.9466 0.0000
0.0000 0.0000 5.4853
Ba Li
6 10
Cartesian
7.3598 0.0000 1.3713 Ba
2.0628 3.5728 1.3713 Ba
-2.0628 3.5728 4.1140 Ba
-3.6799 6.3738 1.3713 Ba
4.1255 0.0000 4.1140 Ba
3.6799 6.3738 4.1140 Ba
9.8839 0.0000 4.1140 Li
5.7427 3.3155 0.0000 Li
1.6015 0.0000 1.3713 Li
-0.8007 1.3869 1.3713 Li
4.9420 8.5597 1.3713 Li
0.0000 6.6311 0.0000 Li
-4.9420 8.5597 4.1140 Li
0.0000 6.6311 2.7426 Li
5.7427 3.3155 2.7426 Li
0.8007 1.3869 4.1140 Li

4.
RbEu2Pd, optimized geometry, DFT PBE; energy above the most stable polymorph in this dataset = 0.022 eV/atom; formation energy = -0.22 eV per atom; space group = No. 123
1.0
3.7944 0.0000 0.0000
0.0000 3.7944 0.0000
0.0000 0.0000 11.0913
Eu Pd Rb
2 1 1
Cartesian
0.0000 0.0000 1.6997 Eu
0.0000 0.0000 9.3916 Eu
1.8972 1.8972 0.0000 Pd
1.8972 1.8972 5.5457 Rb

5.
CePm2Y9, optimized geometry, DFT PBE; formation energy = 0.04 eV per atom; space group = No. 123
1.0
-0.9136 -0.2494 -4.9836
-4.9371 -0.6899 0.9396
-2.1702 15.0468 -0.3553
Y Ce Pm
9 1 2
Cartesian
-2.9253 -0.4697 -2.0220 Y
-3.6491 4.5484 -2.1405 Y
-3.5536 7.1784 0.2921 Y
-4.3718 9.5591 -2.2588 Y
-0.8133 2.3470 -2.5502 Y
-4.2823 12.2301 0.1729 Y
-2.2705 12.4503 -2.7887 Y
-1.5419 7.3987 -2.6695 Y
-2.8250 2.1268 0.4114 Y
0.0000 0.0000 0.0000 Ce
-1.4502 10.0545 -0.2374 Pm
-0.7201 4.9923 -0.1179 Pm

6.
Tb2Sm15Sc2, optimized geometry, DFT PBE; formation energy = 0.28 eV per atom; space group = No. 166
1.0
-8.5083 -0.4589 2.0656
-2.9349 -5.4014 -6.2513
-0.2404 -7.6040 4.3577
Tb Sm Sc
2 15 2
Cartesian
-8.0118 -9.2329 0.1180 Tb
-3.6717 -4.2313 0.0541 Tb
-5.7708 -7.6069 -2.8970 Sm
-1.4674 -2.7007 -3.1257 Sm
-3.2724 -8.1988 -0.8710 Sm
-1.0274 -6.9607 1.2591 Sm
-2.6553 -5.5171 3.6883 Sm
-0.1202 -3.8020 2.1789 Sm
-4.2541 -0.2294 1.0328 Sm
-4.5627 -3.9578 -3.8221 Sm
-5.9128 -5.8573 3.0690 Sm
-2.1479 -6.0447 -3.1527 Sm
-8.4111 -5.2654 1.0431 Sm
-6.0934 -2.5458 2.7351 Sm
-6.8804 -1.9025 -0.3635 Sm
-4.4943 -8.6503 2.1289 Sm
-7.1892 -4.8139 -1.9569 Sm
-10.6348 -12.2556 0.1566 Sc
-1.0488 -1.2086 0.0154 Sc

7.
TbPmBiO2, optimized geometry, DFT PBE; space group = No. 107; raw formation energy = -2637.1 meV per atom
1.0
-0.0758 1.2478 -3.7467
3.3680 -1.9362 -0.7130
-5.2490 -5.2624 0.4356
O Tb Bi Pm
2 1 1 1
Cartesian
-1.8198 -2.1489 -2.7608 O
-0.0979 -3.7409 -1.2439 O
-1.2151 -1.8908 -0.6051 Tb
1.6281 -0.3722 -2.2389 Bi
-0.7628 -4.0927 -3.4295 Pm

8.
PrTmScHg, optimized geometry, DFT PBE; formation energy = -0.07 eV per atom; space group = No. 216
1.0
-2.0828 3.5698 -3.4302
-5.1273 -0.4311 -1.5403
-3.6282 3.5704 1.7137
Hg Sc Pr Tm
1 1 1 1
Cartesian
-5.4192 3.3545 -1.6284 Hg
0.0000 0.0000 0.0000 Sc
-8.1287 5.0317 -2.4426 Pr
-2.7096 1.6772 -0.8142 Tm

9.
Ca2FeRu, optimized geometry, DFT PBE; energy above the most stable polymorph in this dataset = 0.343 eV/atom; formation energy = 0.56 eV per atom; space group = No. 69
1.0
-0.2373 -0.1893 -5.2722
-0.3764 -5.0746 -1.4123
-2.7865 2.8243 3.4747
Ca Fe Ru
2 1 1
Cartesian
0.0000 -0.0002 -0.0003 Ca
-0.3068 -2.6318 -3.3419 Ca
-1.7348 -2.4411 -0.6399 Fe
-1.6653 0.0015 -2.5698 Ru

10.
KAuBr2, optimized geometry, DFT PBE; energy above the most stable polymorph in this dataset = 0.000 eV/atom; space group = No. 166; raw formation energy = -930.1 meV per atom
1.0
4.8880 -3.3873 5.6451
7.8862 -1.4175 1.7410
5.8718 1.8181 5.4267
K Br Au
1 2 1
Cartesian
9.3230 -1.4934 6.4064 K
1.9791 -0.3170 1.3599 Br
16.6670 -2.6698 11.4528 Br
0.0000 0.0000 0.0000 Au

11.
Pa2B10Rh, optimized geometry, DFT PBE; formation energy = -0.53 eV per atom; space group = No. 55
1.0
-3.2428 1.3034 -2.2116
-2.3774 -5.1021 0.4789
-5.1466 3.2883 9.4844
B Rh Pa
20 2 4
Cartesian
-1.8785 -1.1921 2.0518 B
-3.3837 0.1968 -0.3063 B
-2.1121 -0.3143 0.5609 B
-5.9197 -1.4934 2.4161 B
-6.3959 -0.0013 9.3775 B
-4.6481 -2.0045 3.2833 B
-3.0708 1.1847 5.2010 B
-7.3831 -0.7072 8.0580 B
-2.8888 -1.7990 3.1755 B
-6.4107 -2.1909 8.1088 B
-3.6015 -3.4018 3.2760 B
-5.6455 -0.6217 7.9115 B
-6.1186 1.4941 4.4685 B
-4.4531 -2.9986 4.7623 B
-4.8471 0.9830 5.3357 B
-3.9224 1.5880 6.6874 B
-8.6546 -0.1961 7.1908 B
-4.6352 -0.0148 6.7878 B
-1.1132 0.3770 1.8545 B
-1.1280 -1.8125 0.5858 B
0.0000 0.0000 0.0000 Rh
-3.7620 -0.9069 4.9817 Rh
-6.8187 -1.3384 5.3420 Pa
-3.9481 0.8280 2.4097 Pa
-6.7691 1.9405 7.2018 Pa
-3.9977 -2.4509 0.5499 Pa

12.
Er4Cd3In, optimized geometry, DFT PBE; energy above the most stable polymorph in this dataset = 0.000 eV/atom; formation energy = -0.35 eV per atom; space group = No. 123
1.0
3.7102 0.0000 0.0000
0.0000 3.7102 0.0000
0.0000 0.0000 14.9204
Er Cd In
4 3 1
Cartesian
0.0000 0.0000 13.0190 Er
0.0000 0.0000 1.9014 Er
0.0000 0.0000 5.5940 Er
0.0000 0.0000 9.3264 Er
1.8551 1.8551 3.7618 Cd
1.8551 1.8551 11.1586 Cd
1.8551 1.8551 7.4602 Cd
1.8551 1.8551 0.0000 In

13.
SrCoCuAs2, optimized geometry, DFT PBE; formation energy = -0.51 eV per atom; space group = No. 119
1.0
4.0961 0.0000 0.0000
0.0000 4.0961 0.0000
-2.0480 -2.0480 5.6461
Cu As Sr Co
1 2 1 1
Cartesian
2.0480 0.0000 2.8231 Cu
2.0480 2.0480 1.5766 As
0.0000 0.0000 4.0696 As
0.0000 0.0000 0.0000 Sr
0.0000 2.0480 2.8231 Co

| no. | uncorrected energy (eV per cell) | total moment (μB/f.u.) |
| --- | --- | --- |
| 1 | -25.7 | 0.00 |
| 2 | -11.4 | 0.00 |
| 3 | -28.8 | 0.00 |
| 4 | -27.6 | 14.85 |
| 5 | -73.1 | 0.96 |
| 6 | -87.4 | 0.00 |
| 7 | -36.4 | 0.00 |
| 8 | -16.2 | 0.47 |
| 9 | -19.5 | 3.34 |
| 10 | -11.4 | 0.00 |
| 11 | -200.0 | 0.00 |
| 12 | -26.5 | 0.00 |
| 13 | -24.7 | 0.45 |